(1)
# Cd4AgAu7 PBE optimized geometry
data_Cd4AgAu7
_chemical_formula_sum 'Cd8 Ag2 Au14'
_symmetry_space_group_name_H-M 'C 1 2/m 1'
_symmetry_Int_Tables_number 12
_symmetry_space_group_name_Hall '-C 2y'
_cell_length_a 10.813
_cell_length_b 5.190
_cell_length_c 10.376
_cell_angle_alpha 90.00
_cell_angle_beta 120.45
_cell_angle_gamma 90.00
loop_
_atom_site_label
_atom_site_fract_x
_atom_site_fract_y
_atom_site_fract_z
Cd1 0.097 0.000 0.276
Cd2 0.244 0.500 0.166
Ag1 0.000 0.500 0.500
Au1 0.000 0.000 0.500
Au2 0.070 0.500 0.823
Au3 0.136 0.000 0.023
Au4 0.211 0.500 0.415
# Fermi-level density of states	8.11	states/eV per cell



(2)
# Sr2P2Ru PBE optimized geometry
data_Sr2P2Ru
_chemical_formula_sum 'Sr4 P4 Ru2'
_symmetry_space_group_name_H-M 'P 4/m b m'
_symmetry_Int_Tables_number 127
_symmetry_space_group_name_Hall '-P 4 2ab'
_cell_length_a 6.535
_cell_length_b 6.535
_cell_length_c 4.783
_cell_angle_alpha 90.00
_cell_angle_beta 90.00
_cell_angle_gamma 90.00
loop_
_atom_site_label
_atom_site_fract_x
_atom_site_fract_y
_atom_site_fract_z
Sr1 0.178 0.322 0.000
P1 0.131 0.631 0.500
Ru1 0.000 0.000 0.500
# Fermi-level density of states	4.27	states/eV per cell



no.,DFT formation energy (eV per atom),total energy (eV/atom),excess energy over the best structure of this formula in the dataset (eV/atom)
1,-0.05,-2.504,0.028
2,-0.60,-5.291,0.000